K2TcSnMo after structural relaxation, computed with PBE.

## Properties
Formation energy = 1.829 eV per atom
Density = 2.8 Mg/m³
Fermi-level density of states = 8.09 states/eV/cell

Cell and atoms, written as CIF:
```
data_K2TcSnMo
_cell_length_a 6.615
_cell_length_b 6.615
_cell_length_c 5.289
_cell_angle_alpha 90.00
_cell_angle_beta 90.00
_cell_angle_gamma 90.00
_space_group_name_H-M_alt 'P 4/m m m'
_space_group_IT_number 123
_space_group_name_Hall '-P 4 2'
loop_
_atom_site_label
_atom_site_type_symbol
_atom_site_fract_x
_atom_site_fract_y
_atom_site_fract_z
_atom_site_occupancy
K1 K 0.000 0.500 0.000 1
Tc1 Tc 0.000 0.000 0.500 1
Sn1 Sn 0.500 0.500 0.000 1
Mo1 Mo 0.500 0.500 0.500 1
```

KTi2SnMo after structural relaxation, computed with PBE.

## Properties
Formation energy = 1.116 eV per atom
Density = 4.4 Mg/m³
Fermi-level density of states = 7.07 states/eV/cell

Cell and atoms, written as CIF:
```
data_KTi2SnMo
_cell_length_a 4.789
_cell_length_b 4.789
_cell_length_c 5.732
_cell_angle_alpha 90.00
_cell_angle_beta 90.00
_cell_angle_gamma 90.00
_space_group_name_H-M_alt 'P 4/m m m'
_space_group_IT_number 123
_space_group_name_Hall '-P 4 2'
loop_
_atom_site_label
_atom_site_type_symbol
_atom_site_fract_x
_atom_site_fract_y
_atom_site_fract_z
_atom_site_occupancy
K1 K 0.000 0.000 0.000 1
Ti1 Ti 0.000 0.500 0.500 1
Sn1 Sn 0.500 0.500 0.000 1
Mo1 Mo 0.000 0.000 0.500 1
```

K2VSnMo after structural relaxation, computed with PBE.

## Properties
Formation energy = 1.545 eV per atom
Density = 2.8 Mg/m³
Fermi-level density of states = 3.21 states/eV/cell

Cell and atoms, written as CIF:
```
data_K2VSnMo
_cell_length_a 6.168
_cell_length_b 6.168
_cell_length_c 5.306
_cell_angle_alpha 90.00
_cell_angle_beta 90.00
_cell_angle_gamma 90.00
_space_group_name_H-M_alt 'P 4/m m m'
_space_group_IT_number 123
_space_group_name_Hall '-P 4 2'
loop_
_atom_site_label
_atom_site_type_symbol
_atom_site_fract_x
_atom_site_fract_y
_atom_site_fract_z
_atom_site_occupancy
K1 K 0.000 0.500 0.000 1
V1 V 0.000 0.000 0.000 1
Sn1 Sn 0.000 0.000 0.500 1
Mo1 Mo 0.500 0.500 0.500 1
```

KZn2SnMo after structural relaxation, computed with PBE.

## Properties
Formation energy = 1.117 eV per atom
Density = 4.2 Mg/m³
Fermi-level density of states = 3.79 states/eV/cell

Cell and atoms, written as CIF:
```
data_KZn2SnMo
_cell_length_a 5.097
_cell_length_b 5.097
_cell_length_c 5.864
_cell_angle_alpha 90.00
_cell_angle_beta 90.00
_cell_angle_gamma 90.00
_space_group_name_H-M_alt 'P 4/m m m'
_space_group_IT_number 123
_space_group_name_Hall '-P 4 2'
loop_
_atom_site_label
_atom_site_type_symbol
_atom_site_fract_x
_atom_site_fract_y
_atom_site_fract_z
_atom_site_occupancy
K1 K 0.000 0.000 0.000 1
Zn1 Zn 0.000 0.500 0.500 1
Sn1 Sn 0.500 0.500 0.000 1
Mo1 Mo 0.000 0.000 0.500 1
```

K2SrMo after structural relaxation, computed with PBE.

## Properties
Energy relative to the lowest polymorph listed for this composition = 0.672 eV/f.u.
Formation energy = 1.147 eV per atom
Density = 2.5 Mg/m³
Fermi-level density of states = 5.82 states/eV/cell

Cell and atoms, written as CIF:
```
data_K2SrMo
_cell_length_a 7.267
_cell_length_b 13.904
_cell_length_c 3.942
_cell_angle_alpha 90.00
_cell_angle_beta 119.27
_cell_angle_gamma 90.00
_space_group_name_H-M_alt 'C 1 2/m 1'
_space_group_IT_number 12
_space_group_name_Hall '-C 2y'
loop_
_atom_site_label
_atom_site_type_symbol
_atom_site_fract_x
_atom_site_fract_y
_atom_site_fract_z
_atom_site_occupancy
K1 K 0.250 0.250 0.000 1
Sr1 Sr 0.000 0.000 0.500 1
Mo1 Mo 0.000 0.500 0.500 1
```

K2SrMo after structural relaxation, computed with PBE.

## Properties
Energy relative to the lowest polymorph listed for this composition = 0.638 eV/f.u.
Formation energy = 1.139 eV per atom
Density = 2.5 Mg/m³
Fermi-level density of states = 3.60 states/eV/cell

Cell and atoms, written as CIF:
```
data_K2SrMo
_cell_length_a 3.947
_cell_length_b 6.844
_cell_length_c 6.370
_cell_angle_alpha 90.00
_cell_angle_beta 94.15
_cell_angle_gamma 90.00
_space_group_name_H-M_alt 'P 1 2/m 1'
_space_group_IT_number 10
_space_group_name_Hall '-P 2y'
loop_
_atom_site_label
_atom_site_type_symbol
_atom_site_fract_x
_atom_site_fract_y
_atom_site_fract_z
_atom_site_occupancy
K1 K 0.229 0.000 0.270 1
Sr1 Sr 0.500 0.500 0.000 1
Mo1 Mo 0.000 0.500 0.500 1
```

Number 2 is which compound? KTi2SnMo

Number 4 is which compound? KZn2SnMo

What did the third record say?
K2VSnMo after structural relaxation, computed with PBE.

## Properties
Formation energy = 1.545 eV per atom
Density = 2.8 Mg/m³
Fermi-level density of states = 3.21 states/eV/cell

Cell and atoms, written as CIF:
```
data_K2VSnMo
_cell_length_a 6.168
_cell_length_b 6.168
_cell_length_c 5.306
_cell_angle_alpha 90.00
_cell_angle_beta 90.00
_cell_angle_gamma 90.00
_space_group_name_H-M_alt 'P 4/m m m'
_space_group_IT_number 123
_space_group_name_Hall '-P 4 2'
loop_
_atom_site_label
_atom_site_type_symbol
_atom_site_fract_x
_atom_site_fract_y
_atom_site_fract_z
_atom_site_occupancy
K1 K 0.000 0.500 0.000 1
V1 V 0.000 0.000 0.000 1
Sn1 Sn 0.000 0.000 0.500 1
Mo1 Mo 0.500 0.500 0.500 1
```